# 1
Entry from Alexandria: a relaxed structure of MgNi2Pb2 (PBE-GGA).

Computed properties:
- Calculated total energy: -0.14810 hartree per atom
- V: 19.21 A^3/atom
- Excess energy over the best structure of this formula in the dataset: 0 meV/atom
- Energy relative to the elements: 0.4 eV/f.u.

Cell lengths 7.116, 7.116, 3.793 Å; angles 90.00, 90.00, 90.00 degrees
Fractional coordinates of all 10 atoms:
Pb  0.169  0.669  0.500
Pb  0.331  0.169  0.500
Pb  0.669  0.831  0.500
Ni  0.372  0.872  0.000
Pb  0.831  0.331  0.500
Ni  0.872  0.628  0.000
Mg  0.000  0.000  0.000
Ni  0.628  0.128  0.000
Mg  0.500  0.500  0.000
Ni  0.128  0.372  0.000

***

# 2
Entry from Alexandria: a relaxed structure of MgNiPb3 (PBE-GGA).

Computed properties:
- Calculated total energy: -0.12975 hartree per atom
- V: 28.05 A^3/atom
- Excess energy over the best structure of this formula in the dataset: 0 meV/atom
- Energy relative to the elements: 0.8 eV/f.u.

Cell lengths 5.196, 5.196, 5.196 Å; angles 90.00, 90.00, 90.00 degrees
Fractional coordinates of all 5 atoms:
Pb  0.000  0.500  0.000
Mg  0.500  0.500  0.500
Pb  0.000  0.000  0.500
Pb  0.500  0.000  0.000
Ni  0.000  0.000  0.000